The following is a GGA-PBE calculation of crystalline Mn2AsPt at its relaxed geometry, from Alexandria via LeMat-Bulk.

Properties
VASP energy = -29.5 eV/f.u.
symmetry = I4/mmm
formation energy from the elements = -0.110 eV/atom
ΔE to the lowest computed polymorph = 0.93 kcal/mol of atoms

Lattice parameters (Å, degrees): 4.756 4.756 4.756 130.61 130.61 72.43
Sites, in units of the cell vectors:
Mn1 0.250 0.750 0.500
Mn2 0.750 0.250 0.500
As1 0.000 0.000 0.000
Pt1 0.500 0.500 0.000

---

The following is a GGA-PBE calculation of crystalline YInCu5 at its relaxed geometry, from Alexandria via LeMat-Bulk.

Properties
VASP energy = -31.2 eV/f.u.
symmetry = Pnma
formation energy from the elements = -0.218 eV/atom

Lattice parameters (Å, degrees): 8.322 5.026 10.528 90.00 90.00 90.00
Sites, in units of the cell vectors:
Y1 0.248 0.250 0.063
Y2 0.252 0.750 0.563
Y3 0.748 0.250 0.437
Y4 0.752 0.750 0.937
In1 0.138 0.750 0.862
In2 0.362 0.250 0.362
In3 0.638 0.750 0.638
In4 0.862 0.250 0.138
Cu1 0.053 0.750 0.104
Cu2 0.068 0.001 0.312
Cu3 0.068 0.499 0.312
Cu4 0.081 0.250 0.516
Cu5 0.186 0.250 0.741
Cu6 0.314 0.750 0.241
Cu7 0.419 0.750 0.016
Cu8 0.432 0.501 0.812
Cu9 0.432 0.999 0.812
Cu10 0.447 0.250 0.604
Cu11 0.553 0.750 0.396
Cu12 0.568 0.001 0.188
Cu13 0.568 0.499 0.188
Cu14 0.581 0.250 0.984
Cu15 0.686 0.250 0.759
Cu16 0.814 0.750 0.259
Cu17 0.919 0.750 0.484
Cu18 0.932 0.501 0.688
Cu19 0.932 0.999 0.688
Cu20 0.947 0.250 0.896

---

The following is a GGA-PBE calculation of crystalline Mg3Ta at its relaxed geometry, from Alexandria via LeMat-Bulk.

Properties
VASP energy = -15.6 eV/f.u.
symmetry = Cmmm
formation energy from the elements = 0.266 eV/atom

Lattice parameters (Å, degrees): 5.572 5.572 2.847 90.00 90.00 114.61
Sites, in units of the cell vectors:
Mg1 0.000 0.000 0.000
Mg2 0.000 0.500 0.500
Mg3 0.500 0.000 0.500
Ta1 0.500 0.500 0.000

---

The following is a GGA-PBE calculation of crystalline Ba8Cu2Ni at its relaxed geometry, from Alexandria via LeMat-Bulk.

Properties
VASP energy = -29.1 eV/f.u.
symmetry = C2/m
formation energy from the elements = 0.027 eV/atom

Lattice parameters (Å, degrees): 8.634 8.634 8.518 90.25 90.25 59.24
Sites, in units of the cell vectors:
Ba1 0.197 0.197 0.885
Ba2 0.206 0.716 0.751
Ba3 0.284 0.794 0.249
Ba4 0.287 0.287 0.397
Ba5 0.713 0.713 0.603
Ba6 0.716 0.206 0.751
Ba7 0.794 0.284 0.249
Ba8 0.803 0.803 0.115
Cu1 0.081 0.081 0.540
Cu2 0.919 0.919 0.460
Ni1 0.000 0.000 0.000

---

The following is a GGA-PBE calculation of crystalline NaLiNpF6 at its relaxed geometry, from Alexandria via LeMat-Bulk.

Properties
VASP energy = -56.2 eV/f.u.
symmetry = P-31c
ΔE_f (raw) = -28.84 eV per formula unit

Lattice parameters (Å, degrees): 5.579 5.579 9.859 90.00 90.00 120.00
Sites, in units of the cell vectors:
Na1 0.000 0.000 0.000
Na2 0.000 0.000 0.500
Li1 0.333 0.667 0.250
Li2 0.667 0.333 0.750
Np1 0.333 0.667 0.750
Np2 0.667 0.333 0.250
F1 0.011 0.356 0.136
F2 0.011 0.655 0.364
F3 0.345 0.356 0.364
F4 0.345 0.989 0.136
F5 0.356 0.011 0.636
F6 0.356 0.345 0.864
F7 0.644 0.655 0.136
F8 0.644 0.989 0.364
F9 0.655 0.011 0.864
F10 0.655 0.644 0.636
F11 0.989 0.345 0.636
F12 0.989 0.644 0.864

---

The following is a GGA-PBE calculation of crystalline Dy3Tm2Zn2 at its relaxed geometry, from Alexandria via LeMat-Bulk.

Properties
VASP energy = -26.1 eV/f.u.
symmetry = Cmmm
formation energy from the elements = -0.111 eV/atom
ΔE to the lowest computed polymorph = 1.02 kcal/mol of atoms

Lattice parameters (Å, degrees): 15.221 15.221 3.497 90.00 90.00 166.68
Sites, in units of the cell vectors:
Dy1 0.000 0.000 0.000
Dy2 0.119 0.881 0.000
Dy3 0.881 0.119 0.000
Tm1 0.299 0.701 0.500
Tm2 0.701 0.299 0.500
Zn1 0.441 0.559 0.500
Zn2 0.559 0.441 0.500

---

The following is a GGA-PBE calculation of crystalline PPtSe at its relaxed geometry, from Alexandria via LeMat-Bulk.

Properties
VASP energy = -13.6 eV/f.u.
symmetry = F-43m
ΔE_f (raw) = 1.33 eV per formula unit

Lattice parameters (Å, degrees): 4.299 4.299 4.299 60.00 60.00 60.00
Sites, in units of the cell vectors:
P1 0.000 0.000 0.000
Pt1 0.750 0.750 0.750
Se1 0.250 0.250 0.250

---

The following is a GGA-PBE calculation of crystalline Pr3ErHg4 at its relaxed geometry, from Alexandria via LeMat-Bulk.

Properties
VASP energy = -23.9 eV/f.u.
symmetry = P4/mmm
formation energy from the elements = -0.470 eV/atom
ΔE to the lowest computed polymorph = 0.00 kcal/mol of atoms

Lattice parameters (Å, degrees): 3.791 3.791 15.539 90.00 90.00 90.00
Sites, in units of the cell vectors:
Pr1 0.000 0.000 0.000
Pr2 0.000 0.000 0.256
Pr3 0.000 0.000 0.744
Er1 0.000 0.000 0.500
Hg1 0.500 0.500 0.127
Hg2 0.500 0.500 0.389
Hg3 0.500 0.500 0.611
Hg4 0.500 0.500 0.873

---

The following is a GGA-PBE calculation of crystalline ZrSi at its relaxed geometry, from Alexandria via LeMat-Bulk.

Properties
VASP energy = -15.1 eV/f.u.
symmetry = Cmmm
ΔE_f (raw) = -1.10 eV per formula unit

Lattice parameters (Å, degrees): 8.280 8.280 3.038 90.00 90.00 147.30
Sites, in units of the cell vectors:
Zr1 0.000 0.000 0.000
Zr2 0.334 0.666 0.500
Zr3 0.666 0.334 0.500
Si1 0.177 0.823 0.000
Si2 0.500 0.500 0.500
Si3 0.823 0.177 0.000

---

The following is a GGA-PBE calculation of crystalline Sm2YGa3Pt4 at its relaxed geometry, from Alexandria via LeMat-Bulk.

Properties
VASP energy = -58.9 eV/f.u.
symmetry = P-4m2
formation energy from the elements = -0.973 eV/atom

Lattice parameters (Å, degrees): 4.212 4.212 11.556 90.00 90.00 90.00
Sites, in units of the cell vectors:
Sm1 0.000 0.500 0.227
Sm2 0.500 0.000 0.773
Y1 0.000 0.000 0.500
Ga1 0.000 0.500 0.875
Ga2 0.500 0.000 0.125
Ga3 0.500 0.500 0.500
Pt1 0.000 0.000 0.000
Pt2 0.000 0.500 0.660
Pt3 0.500 0.000 0.340
Pt4 0.500 0.500 0.000

---

The following is a GGA-PBE calculation of crystalline SrTb3Te4 at its relaxed geometry, from Alexandria via LeMat-Bulk.

Properties
VASP energy = -39.3 eV/f.u.
symmetry = Cmmm
ΔE_f (raw) = -11.12 eV per formula unit

Lattice parameters (Å, degrees): 7.721 7.721 4.420 90.00 90.00 109.00
Sites, in units of the cell vectors:
Sr1 0.000 0.000 0.000
Tb1 0.000 0.500 0.500
Tb2 0.500 0.000 0.500
Tb3 0.500 0.500 0.000
Te1 0.255 0.745 0.000
Te2 0.260 0.260 0.500
Te3 0.740 0.740 0.500
Te4 0.745 0.255 0.000

---

The following is a GGA-PBE calculation of crystalline PmNd2Cd at its relaxed geometry, from Alexandria via LeMat-Bulk.

Properties
VASP energy = -15.6 eV/f.u.
symmetry = P4/mmm
formation energy from the elements = -0.107 eV/atom
ΔE to the lowest computed polymorph = 0.95 kcal/mol of atoms

Lattice parameters (Å, degrees): 4.980 4.980 4.974 90.00 90.00 90.00
Sites, in units of the cell vectors:
Pm1 0.000 0.000 0.000
Nd1 0.000 0.500 0.500
Nd2 0.500 0.000 0.500
Cd1 0.500 0.500 0.000

---

The following is a GGA-PBE calculation of crystalline YHo5Ga6 at its relaxed geometry, from Alexandria via LeMat-Bulk.

Properties
VASP energy = -54.5 eV/f.u.
symmetry = Cmmm
formation energy from the elements = -0.584 eV/atom

Lattice parameters (Å, degrees): 7.959 7.959 7.104 90.00 90.00 143.14
Sites, in units of the cell vectors:
Y1 0.000 0.000 0.000
Ho1 0.000 0.000 0.500
Ho2 0.333 0.667 0.000
Ho3 0.334 0.666 0.500
Ho4 0.666 0.334 0.500
Ho5 0.667 0.333 0.000
Ga1 0.167 0.833 0.251
Ga2 0.167 0.833 0.749
Ga3 0.500 0.500 0.251
Ga4 0.500 0.500 0.749
Ga5 0.833 0.167 0.251
Ga6 0.833 0.167 0.749

---

The following is a GGA-PBE calculation of crystalline BiPt2SeCl at its relaxed geometry, from Alexandria via LeMat-Bulk.

Properties
VASP energy = -16.0 eV/f.u.
symmetry = P4/mmm
ΔE_f (raw) = 5.27 eV per formula unit

Lattice parameters (Å, degrees): 5.198 5.198 5.473 90.00 90.00 90.00
Sites, in units of the cell vectors:
Bi1 0.000 0.000 0.000
Pt1 0.000 0.500 0.000
Pt2 0.500 0.000 0.000
Se1 0.000 0.000 0.500
Cl1 0.500 0.500 0.500

---

The following is a GGA-PBE calculation of crystalline Na3Tm3InS8 at its relaxed geometry, from Alexandria via LeMat-Bulk.

Properties
VASP energy = -75.4 eV/f.u.
symmetry = R-3m
ΔE_f (raw) = -22.29 eV per formula unit

Lattice parameters (Å, degrees): 8.119 8.119 8.119 57.20 57.20 57.20
Sites, in units of the cell vectors:
Na1 0.000 0.500 0.500
Na2 0.500 0.000 0.500
Na3 0.500 0.500 0.000
Tm1 0.000 0.000 0.500
Tm2 0.000 0.500 0.000
Tm3 0.500 0.000 0.000
In1 0.500 0.500 0.500
S1 0.241 0.241 0.241
S2 0.245 0.738 0.738
S3 0.262 0.262 0.755
S4 0.262 0.755 0.262
S5 0.738 0.245 0.738
S6 0.738 0.738 0.245
S7 0.755 0.262 0.262
S8 0.759 0.759 0.759

---

The following is a GGA-PBE calculation of crystalline NdY2Tm9 at its relaxed geometry, from Alexandria via LeMat-Bulk.

Properties
VASP energy = -57.3 eV/f.u.
symmetry = P6/mmm
formation energy from the elements = 0.052 eV/atom
ΔE to the lowest computed polymorph = 0.52 kcal/mol of atoms

Lattice parameters (Å, degrees): 11.125 11.125 3.482 90.00 90.00 120.00
Sites, in units of the cell vectors:
Nd1 0.000 0.000 0.000
Y1 0.333 0.667 0.000
Y2 0.667 0.333 0.000
Tm1 0.000 0.500 0.000
Tm2 0.178 0.356 0.500
Tm3 0.178 0.822 0.500
Tm4 0.356 0.178 0.500
Tm5 0.500 0.000 0.000
Tm6 0.500 0.500 0.000
Tm7 0.644 0.822 0.500
Tm8 0.822 0.178 0.500
Tm9 0.822 0.644 0.500

---

The following is a GGA-PBE calculation of crystalline SrY2PbN at its relaxed geometry, from Alexandria via LeMat-Bulk.

Properties
VASP energy = -21.5 eV/f.u.
symmetry = P4/mmm
ΔE_f (raw) = 5.19 eV per formula unit
ΔE to the lowest computed polymorph = 43.60 kcal/mol of atoms

Lattice parameters (Å, degrees): 6.036 6.036 4.220 90.00 90.00 90.00
Sites, in units of the cell vectors:
Sr1 0.000 0.000 0.000
Y1 0.000 0.500 0.000
Y2 0.500 0.000 0.000
Pb1 0.500 0.500 0.500
N1 0.000 0.000 0.500

---

The following is a GGA-PBE calculation of crystalline Tb5PmNi2 at its relaxed geometry, from Alexandria via LeMat-Bulk.

Properties
VASP energy = -40.6 eV/f.u.
symmetry = Cmcm
formation energy from the elements = -0.137 eV/atom

Lattice parameters (Å, degrees): 6.782 6.782 18.389 90.00 90.00 148.67
Sites, in units of the cell vectors:
Tb1 0.063 0.937 0.590
Tb2 0.063 0.937 0.910
Tb3 0.329 0.671 0.558
Tb4 0.329 0.671 0.942
Tb5 0.415 0.585 0.250
Tb6 0.585 0.415 0.750
Tb7 0.671 0.329 0.058
Tb8 0.671 0.329 0.442
Tb9 0.937 0.063 0.090
Tb10 0.937 0.063 0.410
Pm1 0.312 0.688 0.750
Pm2 0.688 0.312 0.250
Ni1 0.285 0.715 0.135
Ni2 0.285 0.715 0.365
Ni3 0.715 0.285 0.635
Ni4 0.715 0.285 0.865

---

The following is a GGA-PBE calculation of crystalline LiTlGa2I4 at its relaxed geometry, from Alexandria via LeMat-Bulk.

Properties
VASP energy = -21.3 eV/f.u.
symmetry = P2/m
ΔE_f (raw) = -4.77 eV per formula unit

Lattice parameters (Å, degrees): 8.050 4.686 8.233 90.00 109.11 90.00
Sites, in units of the cell vectors:
Li1 0.000 0.000 0.000
Tl1 0.000 0.500 0.500
Ga1 0.500 0.000 0.500
Ga2 0.500 0.500 0.000
I1 0.243 0.500 0.229
I2 0.249 0.000 0.778
I3 0.751 0.000 0.222
I4 0.757 0.500 0.771

---

The following is a GGA-PBE calculation of crystalline NpPdPb at its relaxed geometry, from Alexandria via LeMat-Bulk.

Properties
VASP energy = -22.0 eV/f.u.
symmetry = P-6m2
formation energy from the elements = -0.067 eV/atom

Lattice parameters (Å, degrees): 4.955 4.955 3.190 90.00 90.00 120.00
Sites, in units of the cell vectors:
Np1 0.000 0.000 0.000
Pd1 0.667 0.333 0.500
Pb1 0.333 0.667 0.500

---

The following is a GGA-PBE calculation of crystalline SrAcTlRh at its relaxed geometry, from Alexandria via LeMat-Bulk.

Properties
VASP energy = -17.2 eV/f.u.
symmetry = Amm2
formation energy from the elements = -0.432 eV/atom
ΔE to the lowest computed polymorph = 0.00 kcal/mol of atoms

Lattice parameters (Å, degrees): 4.125 7.149 7.149 36.04 90.00 90.00
Sites, in units of the cell vectors:
Sr1 0.000 0.000 0.000
Ac1 0.500 0.295 0.295
Tl1 0.500 0.602 0.602
Rh1 0.000 0.757 0.757

---

The following is a GGA-PBE calculation of crystalline NaHoGa at its relaxed geometry, from Alexandria via LeMat-Bulk.

Properties
VASP energy = -9.0 eV/f.u.
symmetry = Fmmm
formation energy from the elements = -0.024 eV/atom

Lattice parameters (Å, degrees): 7.464 7.062 5.058 73.95 65.41 40.64
Sites, in units of the cell vectors:
Na1 0.169 0.831 0.169
Na2 0.831 0.169 0.831
Ho1 0.250 0.250 0.250
Ho2 0.750 0.750 0.750
Ga1 0.390 0.390 0.610
Ga2 0.610 0.610 0.390

---

The following is a GGA-PBE calculation of crystalline ThTlHgPt at its relaxed geometry, from Alexandria via LeMat-Bulk.

Properties
VASP energy = -17.9 eV/f.u.
symmetry = F-43m
formation energy from the elements = -0.453 eV/atom

Lattice parameters (Å, degrees): 5.122 5.122 5.122 60.00 60.00 60.00
Sites, in units of the cell vectors:
Th1 0.000 0.000 0.000
Tl1 0.500 0.500 0.500
Hg1 0.750 0.750 0.750
Pt1 0.250 0.250 0.250

---

The following is a GGA-PBE calculation of crystalline LaAs3Br at its relaxed geometry, from Alexandria via LeMat-Bulk.

Properties
VASP energy = -17.3 eV/f.u.
symmetry = Pm-3m
ΔE_f (raw) = 3.22 eV per formula unit
ΔE to the lowest computed polymorph = 10.18 kcal/mol of atoms

Lattice parameters (Å, degrees): 5.761 5.761 5.761 90.00 90.00 90.00
Sites, in units of the cell vectors:
La1 0.000 0.000 0.000
As1 0.000 0.000 0.500
As2 0.000 0.500 0.000
As3 0.500 0.000 0.000
Br1 0.500 0.500 0.500

---

Number 1: DOS(E_F) 2.7 states/eV/f.u.. Number 2: DOS(E_F) 4.2 states/eV/f.u.. Number 3: DOS(E_F) 2.6 states/eV/f.u.. Number 4: DOS(E_F) 11.1 states/eV/f.u.. Number 5: DOS(E_F) 12.6 states/eV/f.u.. Number 6: DOS(E_F) 9.1 states/eV/f.u.. Number 7: DOS(E_F) 2.4 states/eV/f.u.. Number 8: DOS(E_F) 8.5 states/eV/f.u.. Number 9: DOS(E_F) 0.9 states/eV/f.u.. Number 10: DOS(E_F) 6.3 states/eV/f.u.. Number 11: DOS(E_F) 3.7 states/eV/f.u.. Number 12: DOS(E_F) 6.5 states/eV/f.u.. Number 13: DOS(E_F) 4.2 states/eV/f.u.. Number 14: DOS(E_F) 3.6 states/eV/f.u.. Number 15: DOS(E_F) 11.4 states/eV/f.u.. Number 16: DOS(E_F) 17.7 states/eV/f.u.. Number 17: DOS(E_F) 5.2 states/eV/f.u.. Number 18: DOS(E_F) 11.2 states/eV/f.u.. Number 19: DOS(E_F) 0.0 states/eV/f.u.. Number 20: DOS(E_F) 7.4 states/eV/f.u.. Number 21: DOS(E_F) 2.7 states/eV/f.u.. Number 22: DOS(E_F) 2.7 states/eV/f.u.. Number 23: DOS(E_F) 2.3 states/eV/f.u.. Number 24: DOS(E_F) 8.6 states/eV/f.u..